Compound: TbGa6Fe6
Source: Alexandria via LeMat-Bulk
Functional: GGA-PBE
Structure: relaxed

VASP energy ... -77.6 eV per formula unit
Distance to the lowest polymorph of the same formula ... 0 kJ/mol of formula units
Size of the total moment ... 10.95 μB per formula unit
ΔE_f ... -4.06 eV/f.u.

a b c (Å): 5.029 8.505 8.648
angles (deg): 90.00 90.00 90.00
Space group Immm (No. 71)
Symmetry-distinct sites (fractional):
Tb: 0.000 0.000 0.000 x2
Ga: 0.000 0.000 0.345 x4
Ga: 0.000 0.334 0.000 x4
Ga: 0.000 0.500 0.315 x4
Fe: 0.000 0.257 0.500 x4
Fe: 0.250 0.250 0.250 x8